# PBE with a Hubbard U TaCrNO2, relaxed
data_TaCrNO2
_chemical_formula_sum 'Ta1 Cr1 N1 O2'
_symmetry_space_group_name_H-M 'P 4/m m m'
_symmetry_Int_Tables_number 123
_symmetry_space_group_name_Hall '-P 4 2'
_cell_length_a 3.917
_cell_length_b 3.917
_cell_length_c 4.179
_cell_angle_alpha 90.00
_cell_angle_beta 90.00
_cell_angle_gamma 90.00
loop_
_atom_site_label
_atom_site_type_symbol
_atom_site_fract_x
_atom_site_fract_y
_atom_site_fract_z
Ta1 Ta 0.000 0.000 0.000
Cr1 Cr 0.500 0.500 0.500
N1 N 0.000 0.000 0.500
O1 O 0.000 0.500 0.000
# * crystal system: tetragonal
# * energy: -44.32 eV/cell